The following is a PBE calculation of crystalline NbPbF2 at its relaxed geometry, from Alexandria via LeMat-Bulk.

Density (g cm⁻³): 8.88
E_form (uncorrected) (kJ/mol of atoms): -64.00
Final energy (eV/f.u.): -20.174

Cell lengths 6.324, 6.324, 6.324 Å; angles 90.00, 90.00, 90.00 degrees
Space group Fm-3m (No. 225)
Symmetry-distinct sites (fractional):
Nb  0.000  0.000  0.000
Pb  0.000  0.000  0.500
F  0.250  0.250  0.250